Record 1
# GGA-PBE H3Pb2Cl8, relaxed
# Total DFT energy (no corrections), eV per cell: -83.2
# Total magnetization, μB per formula unit: 0.0
data_H3Pb2Cl8
_cell_length_a 6.9718
_cell_length_b 8.3535
_cell_length_c 13.4484
_cell_angle_alpha 83.66
_cell_angle_beta 80.98
_cell_angle_gamma 75.79
_symmetry_space_group_name_H-M 'P -1'
_symmetry_Int_Tables_number 2
loop_
_symmetry_equiv_pos_as_xyz
'x,y,z'
'-x,-y,-z'
loop_
_atom_site_label
_atom_site_fract_x
_atom_site_fract_y
_atom_site_fract_z
_atom_site_occupancy
H1 0.0461 0.3389 0.3457 1
H2 0.1252 0.2407 0.7848 1
H3 0.4517 0.0432 0.1281 1
Pb1 0.2443 0.6067 0.9300 1
Pb2 0.4513 0.9125 0.6509 1
Cl1 0.1001 0.2152 0.6933 1
Cl2 0.1595 0.3005 0.9382 1
Cl3 0.1776 0.3554 0.4034 1
Cl4 0.1995 0.6607 0.7273 1
Cl5 0.2553 0.9214 0.9280 1
Cl6 0.2983 0.0097 0.1906 1
Cl7 0.3463 0.8705 0.4714 1
Cl8 0.3619 0.5138 0.1245 1



Record 2
# GGA-PBE HPb2Cl5, relaxed
# Total DFT energy (no corrections), eV per cell: -55.4
# Total magnetization, μB per formula unit: 0.0
data_HPb2Cl5
_cell_length_a 5.7446
_cell_length_b 13.1933
_cell_length_c 8.2452
_cell_angle_alpha 90.00
_cell_angle_beta 110.25
_cell_angle_gamma 90.00
_symmetry_space_group_name_H-M 'P 1 21/m 1'
_symmetry_Int_Tables_number 11
loop_
_symmetry_equiv_pos_as_xyz
'x,y,z'
'-x,-y,-z'
'-x,y+1/2,-z'
'x,-y+1/2,z'
loop_
_atom_site_label
_atom_site_fract_x
_atom_site_fract_y
_atom_site_fract_z
_atom_site_occupancy
H1 0.0309 0.2500 0.0649 1
Pb1 0.1544 0.5599 0.3069 1
Cl1 0.0281 0.1322 0.0599 1
Cl2 0.2262 0.7500 0.4506 1
Cl3 0.3205 0.0367 0.6422 1



Record 3
# GGA-PBE HPb2Cl, relaxed
# Total DFT energy (no corrections), eV per cell: -50.2
# Total magnetization, μB per formula unit: 0.0
# Excess energy over the best structure of this formula in the dataset, eV per formula unit: 0.00
data_HPb2Cl
_cell_length_a 5.8418
_cell_length_b 5.8418
_cell_length_c 13.2702
_cell_angle_alpha 90.00
_cell_angle_beta 90.00
_cell_angle_gamma 90.00
_symmetry_space_group_name_H-M 'I -4 2 d'
_symmetry_Int_Tables_number 122
_symmetry_space_group_name_Hall 'I -4 2bw'
loop_
_atom_site_label
_atom_site_fract_x
_atom_site_fract_y
_atom_site_fract_z
_atom_site_occupancy
H1 0.0000 0.0000 0.0000 1
Pb1 0.1336 0.2500 0.1250 1
Cl1 0.0000 0.0000 0.5000 1



Record 4
# GGA-PBE HPbCl3, relaxed
# Total DFT energy (no corrections), eV per cell: -13.3
# Total magnetization, μB per formula unit: 0.9
# Excess energy over the best structure of this formula in the dataset, eV per formula unit: 3.71
data_HPbCl3
_cell_length_a 5.3983
_cell_length_b 5.3983
_cell_length_c 5.3983
_cell_angle_alpha 90.00
_cell_angle_beta 90.00
_cell_angle_gamma 90.00
_symmetry_space_group_name_H-M 'P m -3 m'
_symmetry_Int_Tables_number 221
_symmetry_space_group_name_Hall '-P 4 2 3'
loop_
_atom_site_label
_atom_site_fract_x
_atom_site_fract_y
_atom_site_fract_z
_atom_site_occupancy
H1 0.0000 0.0000 0.0000 1
Pb1 0.5000 0.5000 0.5000 1
Cl1 0.0000 0.5000 0.5000 1



Record 5
# GGA-PBE HPbCl, relaxed
# Total DFT energy (no corrections), eV per cell: -19.9
# Total magnetization, μB per formula unit: 0.0
data_HPbCl
_cell_length_a 4.4168
_cell_length_b 3.9763
_cell_length_c 6.8899
_cell_angle_alpha 90.00
_cell_angle_beta 90.00
_cell_angle_gamma 90.00
_symmetry_space_group_name_H-M 'A m m 2'
_symmetry_Int_Tables_number 38
loop_
_symmetry_equiv_pos_as_xyz
'x,y,z'
'-x,-y,z'
'-x,y,z'
'x,-y,z'
'x,y+1/2,z+1/2'
'-x,-y+1/2,z+1/2'
'-x,y+1/2,z+1/2'
'x,-y+1/2,z+1/2'
loop_
_atom_site_label
_atom_site_fract_x
_atom_site_fract_y
_atom_site_fract_z
_atom_site_occupancy
H1 0.0000 0.0000 0.0000 1
Pb1 0.0000 0.0000 0.3352 1
Cl1 0.5000 0.0000 0.6661 1



Record 6
# GGA-PBE H2PbCl8, relaxed
# Total DFT energy (no corrections), eV per cell: -59.4
# Total magnetization, μB per formula unit: 0.1
data_H2PbCl8
_cell_length_a 11.7986
_cell_length_b 10.8348
_cell_length_c 6.1613
_cell_angle_alpha 90.00
_cell_angle_beta 107.38
_cell_angle_gamma 90.00
_symmetry_space_group_name_H-M 'C 1 2/m 1'
_symmetry_Int_Tables_number 12
loop_
_symmetry_equiv_pos_as_xyz
'x,y,z'
'-x,-y,-z'
'-x,y,-z'
'x,-y,z'
'x+1/2,y+1/2,z'
'-x+1/2,-y+1/2,-z'
'-x+1/2,y+1/2,-z'
'x+1/2,-y+1/2,z'
loop_
_atom_site_label
_atom_site_fract_x
_atom_site_fract_y
_atom_site_fract_z
_atom_site_occupancy
H1 0.1622 0.0000 0.1187 1
Pb1 0.0000 0.0000 0.5000 1
Cl1 0.0256 0.5000 0.1694 1
Cl2 0.0975 0.1601 0.7833 1
Cl3 0.2113 0.0000 0.3395 1



Record 7
# GGA-PBE HPb2Cl, relaxed
# Total DFT energy (no corrections), eV per cell: -46.7
# Total magnetization, μB per formula unit: 0.0
# Excess energy over the best structure of this formula in the dataset, eV per formula unit: 0.86
data_HPb2Cl
_cell_length_a 7.2326
_cell_length_b 7.2326
_cell_length_c 7.2326
_cell_angle_alpha 90.00
_cell_angle_beta 90.00
_cell_angle_gamma 90.00
_symmetry_space_group_name_H-M 'F m -3 m'
_symmetry_Int_Tables_number 225
_symmetry_space_group_name_Hall '-F 4 2 3'
loop_
_atom_site_label
_atom_site_fract_x
_atom_site_fract_y
_atom_site_fract_z
_atom_site_occupancy
H1 0.0000 0.0000 0.0000 1
Pb1 0.2500 0.2500 0.2500 1
Cl1 0.0000 0.0000 0.5000 1



Record 8
# GGA-PBE HPbCl2, relaxed
# Total DFT energy (no corrections), eV per cell: -43.7
# Total magnetization, μB per formula unit: 0.0
# Excess energy over the best structure of this formula in the dataset, eV per formula unit: 1.78
data_HPbCl2
_cell_length_a 5.9721
_cell_length_b 5.9721
_cell_length_c 9.4426
_cell_angle_alpha 90.00
_cell_angle_beta 90.00
_cell_angle_gamma 90.00
_symmetry_space_group_name_H-M 'I -4 2 d'
_symmetry_Int_Tables_number 122
_symmetry_space_group_name_Hall 'I -4 2bw'
loop_
_atom_site_label
_atom_site_fract_x
_atom_site_fract_y
_atom_site_fract_z
_atom_site_occupancy
H1 0.0000 0.0000 0.0000 1
Pb1 0.0000 0.0000 0.5000 1
Cl1 0.0998 0.2500 0.1250 1



Record 9
# GGA-PBE HPbCl3, relaxed
# Total DFT energy (no corrections), eV per cell: -34.0
# Total magnetization, μB per formula unit: 0.0
# Excess energy over the best structure of this formula in the dataset, eV per formula unit: 0.00
data_HPbCl3
_cell_length_a 5.9081
_cell_length_b 7.2759
_cell_length_c 7.7516
_cell_angle_alpha 73.77
_cell_angle_beta 82.04
_cell_angle_gamma 76.71
_symmetry_space_group_name_H-M 'P -1'
_symmetry_Int_Tables_number 2
loop_
_symmetry_equiv_pos_as_xyz
'x,y,z'
'-x,-y,-z'
loop_
_atom_site_label
_atom_site_fract_x
_atom_site_fract_y
_atom_site_fract_z
_atom_site_occupancy
H1 0.2450 0.3369 0.2083 1
Pb1 0.3136 0.7979 0.4645 1
Cl1 0.1081 0.2308 0.1746 1
Cl2 0.2730 0.0903 0.6619 1
Cl3 0.4622 0.4905 0.2674 1



Record 10
# GGA-PBE HPbCl2, relaxed
# Total DFT energy (no corrections), eV per cell: -38.1
# Total magnetization, μB per formula unit: 0.0
# Excess energy over the best structure of this formula in the dataset, eV per formula unit: 0.00
data_HPbCl2
_cell_length_a 3.7282
_cell_length_b 3.7282
_cell_length_c 23.3026
_cell_angle_alpha 90.00
_cell_angle_beta 90.00
_cell_angle_gamma 120.00
_symmetry_space_group_name_H-M 'R -3 m'
_symmetry_Int_Tables_number 166
_symmetry_space_group_name_Hall '-R 3 2"'
loop_
_atom_site_label
_atom_site_fract_x
_atom_site_fract_y
_atom_site_fract_z
_atom_site_occupancy
H1 0.0000 0.0000 0.0000 1
Pb1 0.0000 0.0000 0.5000 1
Cl1 0.0000 0.0000 0.0669 1



Record 11
# GGA-PBE H2PbCl3, relaxed
# Total DFT energy (no corrections), eV per cell: -37.6
# Total magnetization, μB per formula unit: 0.0
data_H2PbCl3
_cell_length_a 9.1967
_cell_length_b 9.1967
_cell_length_c 7.0040
_cell_angle_alpha 90.00
_cell_angle_beta 90.00
_cell_angle_gamma 120.00
_symmetry_space_group_name_H-M 'P 63/m m c'
_symmetry_Int_Tables_number 194
_symmetry_space_group_name_Hall '-P 6c 2c'
loop_
_atom_site_label
_atom_site_fract_x
_atom_site_fract_y
_atom_site_fract_z
_atom_site_occupancy
H1 0.3333 0.6667 0.1964 1
Pb1 0.0000 0.0000 0.0000 1
Cl1 0.1335 0.2670 0.2500 1



Record 12
# GGA-PBE HPbCl2, relaxed
# Total DFT energy (no corrections), eV per cell: -47.7
# Total magnetization, μB per formula unit: 1.0
# Excess energy over the best structure of this formula in the dataset, eV per formula unit: 0.79
data_HPbCl2
_cell_length_a 7.0717
_cell_length_b 7.0717
_cell_length_c 7.0717
_cell_angle_alpha 90.00
_cell_angle_beta 90.00
_cell_angle_gamma 90.00
_symmetry_space_group_name_H-M 'F m -3 m'
_symmetry_Int_Tables_number 225
_symmetry_space_group_name_Hall '-F 4 2 3'
loop_
_atom_site_label
_atom_site_fract_x
_atom_site_fract_y
_atom_site_fract_z
_atom_site_occupancy
H1 0.0000 0.0000 0.0000 1
Pb1 0.0000 0.0000 0.5000 1
Cl1 0.2500 0.2500 0.2500 1



Record 13
# GGA-PBE H2PbCl2, relaxed
# Total DFT energy (no corrections), eV per cell: -13.0
# Total magnetization, μB per formula unit: 2.0
data_H2PbCl2
_cell_length_a 4.3862
_cell_length_b 4.3862
_cell_length_c 9.6464
_cell_angle_alpha 90.00
_cell_angle_beta 90.00
_cell_angle_gamma 120.00
_symmetry_space_group_name_H-M 'P -3 m 1'
_symmetry_Int_Tables_number 164
_symmetry_space_group_name_Hall '-P 3 2"'
loop_
_atom_site_label
_atom_site_fract_x
_atom_site_fract_y
_atom_site_fract_z
_atom_site_occupancy
H1 0.3333 0.6667 0.3766 1
Pb1 0.0000 0.0000 0.0000 1
Cl1 0.3333 0.6667 0.8455 1



Record 14
# GGA-PBE H2Pb5Cl12, relaxed
# Total DFT energy (no corrections), eV per cell: -66.2
# Total magnetization, μB per formula unit: 0.0
data_H2Pb5Cl12
_cell_length_a 7.5793
_cell_length_b 8.9406
_cell_length_c 9.3268
_cell_angle_alpha 105.17
_cell_angle_beta 92.49
_cell_angle_gamma 114.44
_symmetry_space_group_name_H-M 'P -1'
_symmetry_Int_Tables_number 2
loop_
_symmetry_equiv_pos_as_xyz
'x,y,z'
'-x,-y,-z'
loop_
_atom_site_label
_atom_site_fract_x
_atom_site_fract_y
_atom_site_fract_z
_atom_site_occupancy
H1 0.1741 0.1330 0.4089 1
Pb1 0.0000 0.0000 0.0000 1
Pb2 0.3176 0.6418 0.6519 1
Pb3 0.3248 0.6497 0.1635 1
Cl1 0.0011 0.0155 0.3201 1
Cl2 0.0926 0.7004 0.9403 1
Cl3 0.0995 0.6537 0.3997 1
Cl4 0.3901 0.3016 0.0727 1
Cl5 0.4036 0.3171 0.5595 1
Cl6 0.4907 0.9981 0.7457 1



Record 15
# GGA-PBE HPbCl3, relaxed
# Total DFT energy (no corrections), eV per cell: -13.9
# Total magnetization, μB per formula unit: 0.0
# Excess energy over the best structure of this formula in the dataset, eV per formula unit: 3.05
data_HPbCl3
_cell_length_a 4.5756
_cell_length_b 4.5756
_cell_length_c 4.5756
_cell_angle_alpha 90.00
_cell_angle_beta 90.00
_cell_angle_gamma 90.00
_symmetry_space_group_name_H-M 'P m -3 m'
_symmetry_Int_Tables_number 221
_symmetry_space_group_name_Hall '-P 4 2 3'
loop_
_atom_site_label
_atom_site_fract_x
_atom_site_fract_y
_atom_site_fract_z
_atom_site_occupancy
H1 0.0000 0.0000 0.0000 1
Pb1 0.5000 0.5000 0.5000 1
Cl1 0.0000 0.0000 0.5000 1



Record 16
# GGA-PBE H2Pb2Cl3, relaxed
# Total DFT energy (no corrections), eV per cell: -44.8
# Total magnetization, μB per formula unit: 0.0
data_H2Pb2Cl3
_cell_length_a 6.7033
_cell_length_b 3.8676
_cell_length_c 11.8104
_cell_angle_alpha 90.00
_cell_angle_beta 100.29
_cell_angle_gamma 90.00
_symmetry_space_group_name_H-M 'C 1 2/m 1'
_symmetry_Int_Tables_number 12
loop_
_symmetry_equiv_pos_as_xyz
'x,y,z'
'-x,-y,-z'
'-x,y,-z'
'x,-y,z'
'x+1/2,y+1/2,z'
'-x+1/2,-y+1/2,-z'
'-x+1/2,y+1/2,-z'
'x+1/2,-y+1/2,z'
loop_
_atom_site_label
_atom_site_fract_x
_atom_site_fract_y
_atom_site_fract_z
_atom_site_occupancy
H1 0.1116 0.0000 0.3228 1
Pb1 0.2286 0.0000 0.6997 1
Cl1 0.0000 0.5000 0.5000 1
Cl2 0.1119 0.5000 0.8575 1



Record 17
# GGA-PBE H2PdPbCl8, relaxed
# Total DFT energy (no corrections), eV per cell: -37.4
# Total magnetization, μB per formula unit: 0.0
data_H2PdPbCl8
_cell_length_a 6.8661
_cell_length_b 7.2106
_cell_length_c 7.9734
_cell_angle_alpha 82.07
_cell_angle_beta 66.32
_cell_angle_gamma 76.62
_symmetry_space_group_name_H-M 'P -1'
_symmetry_Int_Tables_number 2
loop_
_symmetry_equiv_pos_as_xyz
'x,y,z'
'-x,-y,-z'
loop_
_atom_site_label
_atom_site_fract_x
_atom_site_fract_y
_atom_site_fract_z
_atom_site_occupancy
H1 0.2448 0.3448 0.2787 1
Pd1 0.5000 0.0000 0.5000 1
Pb1 0.5000 0.0000 0.0000 1
Cl1 0.2255 0.3796 0.1119 1
Cl2 0.2588 0.9221 0.7965 1
Cl3 0.2702 0.3005 0.5095 1
Cl4 0.3039 0.8661 0.3799 1



Record 18
# GGA-PBE HPtPb2Cl, relaxed
# Total DFT energy (no corrections), eV per cell: -20.1
# Total magnetization, μB per formula unit: 0.0
data_HPtPb2Cl
_cell_length_a 5.5573
_cell_length_b 5.5573
_cell_length_c 3.5112
_cell_angle_alpha 90.00
_cell_angle_beta 90.00
_cell_angle_gamma 90.00
_symmetry_space_group_name_H-M 'P 4/m m m'
_symmetry_Int_Tables_number 123
_symmetry_space_group_name_Hall '-P 4 2'
loop_
_atom_site_label
_atom_site_fract_x
_atom_site_fract_y
_atom_site_fract_z
_atom_site_occupancy
H1 0.0000 0.0000 0.0000 1
Pt1 0.0000 0.0000 0.5000 1
Pb1 0.0000 0.5000 0.5000 1
Cl1 0.5000 0.5000 0.0000 1



Record 19
# GGA-PBE Rb2HPbCl6, relaxed
# Total DFT energy (no corrections), eV per cell: -63.4
# Total magnetization, μB per formula unit: 0.0
data_Rb2HPbCl6
_cell_length_a 8.2465
_cell_length_b 8.2465
_cell_length_c 9.0939
_cell_angle_alpha 90.00
_cell_angle_beta 90.00
_cell_angle_gamma 90.00
_symmetry_space_group_name_H-M 'I 4/m m m'
_symmetry_Int_Tables_number 139
_symmetry_space_group_name_Hall '-I 4 2'
loop_
_atom_site_label
_atom_site_fract_x
_atom_site_fract_y
_atom_site_fract_z
_atom_site_occupancy
Rb1 0.0000 0.5000 0.2500 1
H1 0.0000 0.0000 0.0000 1
Pb1 0.0000 0.0000 0.5000 1
Cl1 0.0000 0.0000 0.1728 1
Cl2 0.2287 0.2287 0.5000 1



Record 20
# GGA-PBE RbH2PbCl8, relaxed
# Total DFT energy (no corrections), eV per cell: -34.3
# Total magnetization, μB per formula unit: 0.0
data_RbH2PbCl8
_cell_length_a 5.5017
_cell_length_b 6.3068
_cell_length_c 11.4370
_cell_angle_alpha 84.34
_cell_angle_beta 81.81
_cell_angle_gamma 65.65
_symmetry_space_group_name_H-M 'P -1'
_symmetry_Int_Tables_number 2
loop_
_symmetry_equiv_pos_as_xyz
'x,y,z'
'-x,-y,-z'
loop_
_atom_site_label
_atom_site_fract_x
_atom_site_fract_y
_atom_site_fract_z
_atom_site_occupancy
Rb1 0.0000 0.0000 0.0000 1
H1 0.4871 0.4110 0.7099 1
Pb1 0.0000 0.0000 0.5000 1
Cl1 0.1951 0.4052 0.4496 1
Cl2 0.2655 0.4648 0.0027 1
Cl3 0.3278 0.7626 0.6810 1
Cl4 0.3963 0.8227 0.2791 1